# 1
Compound: NdSmErTh
Source: Alexandria
Functional: PBE
Structure: optimized geometry

As for the space group: R3m (160). Its offset from the most stable computed form is 0.00 eV/f.u. For the energy of formation, the calculation gives 0.016 eV per atom.

Cell lengths 3.6105, 3.6105, 34.9439 Å; angles 90.00, 90.00, 120.00 degrees
Last column: nearest neighbours and their distance in Å.
Positions (direct):
Nd: 0.0000 0.0000 0.0000  6 Nd 3.61, 3 Er 3.61, 3 Sm 3.70
Nd: 0.3333 0.6667 0.6667  6 Nd 3.61, 3 Er 3.61, 3 Sm 3.70
Nd: 0.6667 0.3333 0.3333  6 Nd 3.61, 3 Er 3.61, 3 Sm 3.70
Sm: 0.0000 0.0000 0.2458  3 Th 3.52, 6 Sm 3.61, 3 Nd 3.70
Sm: 0.3333 0.6667 0.9125  3 Th 3.52, 6 Sm 3.61, 3 Nd 3.70
Sm: 0.6667 0.3333 0.5792  3 Th 3.52, 6 Sm 3.61, 3 Nd 3.70
Er: 0.0000 0.0000 0.4178  3 Th 3.49, 6 Er 3.61, 3 Nd 3.61
Er: 0.3333 0.6667 0.0845  3 Th 3.49, 6 Er 3.61, 3 Nd 3.61
Er: 0.6667 0.3333 0.7511  3 Th 3.49, 6 Er 3.61, 3 Nd 3.61
Th: 0.0000 0.0000 0.8312  3 Er 3.49, 3 Sm 3.52, 6 Th 3.61
Th: 0.3333 0.6667 0.4978  3 Er 3.49, 3 Sm 3.52, 6 Th 3.61
Th: 0.6667 0.3333 0.1645  3 Er 3.49, 3 Sm 3.52, 6 Th 3.61



# 2
Compound: Te4Br3O2
Source: Alexandria
Functional: PBE
Structure: optimized geometry

The value obtained for the uncorrected formation energy is -0.290 eV/atom. As for the space group: C2/c (15).

Cell lengths 10.2734, 10.2734, 5.9033 Å; angles 99.16, 99.16, 72.05 degrees
Last column: nearest neighbours and their distance in Å.
Positions (direct):
Te: 0.0156 0.2828 0.0589  1 O 1.99
Te: 0.2369 0.4114 0.1487  1 O 2.02
Te: 0.2828 0.0156 0.5589  1 O 1.99
Te: 0.4114 0.2369 0.6487  1 O 2.02
Te: 0.5886 0.7631 0.3513  1 O 2.02
Te: 0.7172 0.9844 0.4411  1 O 1.99
Te: 0.7631 0.5886 0.8513  1 O 2.02
Te: 0.9844 0.7172 0.9411  1 O 1.99
Br: 0.0111 0.2632 0.5578  3 Te 2.93-3.14
Br: 0.2632 0.0111 0.0578  3 Te 2.93-3.14
Br: 0.3807 0.6193 0.2500  2 Te 2.89
Br: 0.6193 0.3807 0.7500  2 Te 2.89
Br: 0.7368 0.9889 0.9422  3 Te 2.93-3.14
Br: 0.9889 0.7368 0.4422  3 Te 2.93-3.14
O: 0.1220 0.5324 0.9083  2 Te 1.99-2.02
O: 0.4676 0.8780 0.5917  2 Te 1.99-2.02
O: 0.5324 0.1220 0.4083  2 Te 1.99-2.02
O: 0.8780 0.4676 0.0917  2 Te 1.99-2.02